1) # Rb2BaCu2 GGA-PBE optimized geometry
# Volume ... 402.6 Å³/cell
# Magnetic moment ... 0.000 μB/f.u.
# Theoretical density ... 3.592 g cm⁻³
data_Rb2BaCu2
_cell_length_a 8.388
_cell_length_b 8.388
_cell_length_c 5.722
_cell_angle_alpha 90.00
_cell_angle_beta 90.00
_cell_angle_gamma 90.00
_space_group_name_H-M_alt 'P 4/m b m'
_space_group_IT_number 127
_space_group_name_Hall '-P 4 2ab'
loop_
_atom_site_label
_atom_site_type_symbol
_atom_site_fract_x
_atom_site_fract_y
_atom_site_fract_z
Rb1 Rb 0.163 0.337 0.000
Ba1 Ba 0.000 0.000 0.500
Cu1 Cu 0.104 0.604 0.500

=====

2) # Rb2BaCu2 GGA-PBE optimized geometry
# Volume ... 390.4 Å³/cell
# Magnetic moment ... 0.000 μB/f.u.
# Theoretical density ... 3.703 g cm⁻³
data_Rb2BaCu2
_cell_length_a 5.045
_cell_length_b 5.045
_cell_length_c 15.341
_cell_angle_alpha 90.00
_cell_angle_beta 90.00
_cell_angle_gamma 90.00
_space_group_name_H-M_alt 'I 4/m m m'
_space_group_IT_number 139
_space_group_name_Hall '-I 4 2'
loop_
_atom_site_label
_atom_site_type_symbol
_atom_site_fract_x
_atom_site_fract_y
_atom_site_fract_z
Rb1 Rb 0.000 0.500 0.250
Ba1 Ba 0.000 0.000 0.000
Cu1 Cu 0.000 0.000 0.422

=====

The structure with the least stability is 2).

=====

1) # RbBa2Cu2 GGA-PBE optimized geometry
# Volume ... 395.5 Å³/cell
# Magnetic moment ... 0.000 μB/f.u.
# Theoretical density ... 4.091 g cm⁻³
data_RbBa2Cu2
_cell_length_a 5.689
_cell_length_b 5.689
_cell_length_c 12.219
_cell_angle_alpha 90.00
_cell_angle_beta 90.00
_cell_angle_gamma 90.00
_space_group_name_H-M_alt 'I 4/m m m'
_space_group_IT_number 139
_space_group_name_Hall '-I 4 2'
loop_
_atom_site_label
_atom_site_type_symbol
_atom_site_fract_x
_atom_site_fract_y
_atom_site_fract_z
Rb1 Rb 0.000 0.000 0.000
Ba1 Ba 0.000 0.500 0.250
Cu1 Cu 0.000 0.000 0.399

=====

2) # RbBa2Cu2 GGA-PBE optimized geometry
# Volume ... 386.3 Å³/cell
# Magnetic moment ... 0.000 μB/f.u.
# Theoretical density ... 4.189 g cm⁻³
data_RbBa2Cu2
_cell_length_a 9.107
_cell_length_b 9.107
_cell_length_c 4.657
_cell_angle_alpha 90.00
_cell_angle_beta 90.00
_cell_angle_gamma 90.00
_space_group_name_H-M_alt 'P 4/m b m'
_space_group_IT_number 127
_space_group_name_Hall '-P 4 2ab'
loop_
_atom_site_label
_atom_site_type_symbol
_atom_site_fract_x
_atom_site_fract_y
_atom_site_fract_z
Rb1 Rb 0.000 0.000 0.000
Ba1 Ba 0.162 0.338 0.500
Cu1 Cu 0.098 0.598 0.000

=====

The structure with the least stability is 1).

=====

1) # RbBa2Cu2 GGA-PBE optimized geometry
# Volume ... 365.3 Å³/cell
# Magnetic moment ... 0.000 μB/f.u.
# Theoretical density ... 4.429 g cm⁻³
data_RbBa2Cu2
_cell_length_a 9.680
_cell_length_b 9.680
_cell_length_c 3.899
_cell_angle_alpha 90.00
_cell_angle_beta 90.00
_cell_angle_gamma 90.00
_space_group_name_H-M_alt 'P 4/m b m'
_space_group_IT_number 127
_space_group_name_Hall '-P 4 2ab'
loop_
_atom_site_label
_atom_site_type_symbol
_atom_site_fract_x
_atom_site_fract_y
_atom_site_fract_z
Rb1 Rb 0.000 0.000 0.000
Ba1 Ba 0.139 0.361 0.000
Cu1 Cu 0.149 0.649 0.500

=====

2) # RbBa2Cu2 GGA-PBE optimized geometry
# Volume ... 478.0 Å³/cell
# Magnetic moment ... 0.000 μB/f.u.
# Theoretical density ... 3.385 g cm⁻³
data_RbBa2Cu2
_cell_length_a 5.908
_cell_length_b 5.908
_cell_length_c 13.692
_cell_angle_alpha 90.00
_cell_angle_beta 90.00
_cell_angle_gamma 90.00
_space_group_name_H-M_alt 'I 4/m m m'
_space_group_IT_number 139
_space_group_name_Hall '-I 4 2'
loop_
_atom_site_label
_atom_site_type_symbol
_atom_site_fract_x
_atom_site_fract_y
_atom_site_fract_z
Rb1 Rb 0.000 0.000 0.000
Ba1 Ba 0.000 0.000 0.334
Cu1 Cu 0.000 0.500 0.250

=====

The structure with the least stability is 2).

=====

1) # RbBaCu3 GGA-PBE optimized geometry
# Volume ... 224.6 Å³/cell
# Magnetic moment ... 0.000 μB/f.u.
# Theoretical density ... 3.057 g cm⁻³
data_RbBaCu3
_cell_length_a 6.079
_cell_length_b 6.079
_cell_length_c 6.079
_cell_angle_alpha 90.00
_cell_angle_beta 90.00
_cell_angle_gamma 90.00
_space_group_name_H-M_alt 'P m -3 m'
_space_group_IT_number 221
_space_group_name_Hall '-P 4 2 3'
loop_
_atom_site_label
_atom_site_type_symbol
_atom_site_fract_x
_atom_site_fract_y
_atom_site_fract_z
Rb1 Rb 0.000 0.000 0.000
Ba1 Ba 0.500 0.500 0.500
Cu1 Cu 0.000 0.500 0.500

=====

2) # RbBaCu3 GGA-PBE optimized geometry
# Volume ... 185.9 Å³/cell
# Magnetic moment ... 0.000 μB/f.u.
# Theoretical density ... 3.693 g cm⁻³
data_RbBaCu3
_cell_length_a 5.707
_cell_length_b 5.707
_cell_length_c 5.707
_cell_angle_alpha 90.00
_cell_angle_beta 90.00
_cell_angle_gamma 90.00
_space_group_name_H-M_alt 'P m -3 m'
_space_group_IT_number 221
_space_group_name_Hall '-P 4 2 3'
loop_
_atom_site_label
_atom_site_type_symbol
_atom_site_fract_x
_atom_site_fract_y
_atom_site_fract_z
Rb1 Rb 0.000 0.000 0.000
Ba1 Ba 0.500 0.500 0.500
Cu1 Cu 0.000 0.000 0.500

=====

The structure with the least stability is 2).